Entry from the Alexandria database: an optimized crystal structure of NiI3F (PBE+U).

Values from the calculation:
E_tot: -1.53 eV/atom
Energy relative to the lowest polymorph listed for this composition: 0.000 eV/atom
Density of states at the Fermi level: 5.96 states/eV/cell

abc: 5.148 5.148 5.148
angles: 90.00 90.00 90.00
Space group Pm-3m (No. 221)
One atom of each set of equivalent atoms:
Ni  0.000  0.000  0.000 [1 per cell]
I  0.000  0.000  0.500 [3 per cell]
F  0.500  0.500  0.500 [1 per cell]